Compound: TcSe2O
Source: Alexandria
Functional: meta-GGA SCAN
Structure: single point on PBEsol structure

Cell lengths 5.4281, 5.4281, 6.3647 Å; angles 115.24, 115.24, 90.00 degrees
With the nearest neighbours (Å) after each atom.
Fractional coordinates of all 8 atoms:
Se 0.8636 0.3750 0.2500  2 O 2.27, 2 Tc 2.34
Se 0.6250 0.6136 0.7500  2 O 2.27, 2 Tc 2.34
Se 0.3864 0.8750 0.2500  2 O 2.27, 2 Tc 2.34
Se 0.1250 0.1364 0.7500  2 O 2.27, 2 Tc 2.34
Tc 0.2500 0.7500 0.5000  4 Se 2.34
Tc 0.0000 0.0000 0.0000  4 Se 2.34
O 0.7500 0.2500 0.5000  4 Se 2.27
O 0.5000 0.5000 0.0000  4 Se 2.27

Computed properties:
DOS at the Fermi energy, states/eV/f.u.: 4.17
Spin magnetization, μB per formula unit: 0.0
Energy relative to the elements, uncorrected, kJ/mol of formula units: 100
E_tot, eV/f.u.: -80.4